First-principles (PBE) data for a geometry-optimized K2LaBe structure, as listed in Alexandria via LeMat-Bulk.

CIF file:
```
data_K2LaBe
_chemical_formula_sum 'K4 La2 Be2'
_symmetry_space_group_name_H-M 'C m m m'
_symmetry_Int_Tables_number 65
_symmetry_space_group_name_Hall '-C 2 2'
_cell_length_a 4.2942
_cell_length_b 5.9160
_cell_length_c 12.4043
_cell_angle_alpha 90.00
_cell_angle_beta 90.00
_cell_angle_gamma 90.00
loop_
_atom_site_label
_atom_site_type_symbol
_atom_site_fract_x
_atom_site_fract_y
_atom_site_fract_z
K1 K 0.0000 0.0000 0.2008
La1 La 0.0000 0.5000 0.5000
Be1 Be 0.0000 0.5000 0.0000
```

Computed properties:
Energy of formation from the pure elements ... 837 meV per atom
Calculated total energy ... -1.87 eV per atom
D(E_F) ... 5.17 states/eV/f.u.